DFT (GGA+U) results for a relaxed CoSnWO6 crystal.

a b c (Å): 5.274 5.274 9.045
angles (deg): 90.00 90.00 120.00
Atoms (fractional coordinates):
1 Co 0.000 0.000 0.000
2 Co 0.000 0.000 0.500
3 Sn 0.333 0.667 0.250
4 Sn 0.667 0.333 0.750
5 W 0.333 0.667 0.750
6 W 0.667 0.333 0.250
7 O 0.019 0.359 0.631
8 O 0.019 0.660 0.869
9 O 0.340 0.359 0.869
10 O 0.340 0.981 0.631
11 O 0.359 0.019 0.131
12 O 0.359 0.340 0.369
13 O 0.641 0.660 0.631
14 O 0.641 0.981 0.869
15 O 0.660 0.019 0.369
16 O 0.660 0.641 0.131
17 O 0.981 0.340 0.131
18 O 0.981 0.641 0.369

Values from the calculation:
As for the electronic total energy: -6.67 eV/atom.